Computed, not measured: a relaxed ZrSiMo crystal at the PBE-GGA level of DFT.

Unit cell a=4.2430 b=4.2430 c=3.4607 alpha=90.00 beta=90.00 gamma=120.00
Space group P-6m2 (No. 187)
Asymmetric unit:
Zr  0.0000  0.0000  0.0000 x1
Si  0.3333  0.6667  0.5000 x1
Mo  0.6667  0.3333  0.5000 x1

Computed, not measured: a relaxed ZrSi2Mo crystal at the PBE-GGA level of DFT.

Unit cell a=6.349 b=6.349 c=6.349 alpha=90.00 beta=90.00 gamma=90.00
Space group Fm-3m (No. 225)
Asymmetric unit:
Zr  0.000  0.000  0.000 x4
Si  0.250  0.250  0.250 x8
Mo  0.000  0.000  0.500 x4

Properties
Energy above the lowest structure with this stoichiometry in meV/atom: 269

Computed, not measured: a relaxed Zr2Si2Mo crystal at the PBE-GGA level of DFT.

Unit cell a=6.730 b=6.730 c=3.808 alpha=90.00 beta=90.00 gamma=90.00
Space group P4/mbm (No. 127)
Asymmetric unit:
Zr  0.175  0.325  0.000 x4
Si  0.128  0.628  0.500 x4
Mo  0.000  0.000  0.500 x2

Computed, not measured: a relaxed ZrSiMo crystal at the PBE-GGA level of DFT.

Unit cell a=10.105 b=3.502 c=7.041 alpha=90.00 beta=124.34 gamma=90.00
Space group C2/m (No. 12)
Asymmetric unit:
Zr  0.080  0.000  0.319 x4
Si  0.137  0.500  0.669 x4
Mo  0.176  0.500  0.068 x4

How do the records compare in energy relative to the elements, uncorrected? In the order shown, they have -16.5 -22.8 -77.6 -57.8 kJ/mol of atoms.
How do the records compare in size of the total moment? In the order shown, they have 0.00 0.00 0.00 0.00 μB/f.u..